(1)
Material: LiCu2H
Method: DFT, PBE-GGA
State: relaxed

Calculated values
symmetry	I4_1/amd (141)

a = 5.273 Å, b = 5.273 Å, c = 7.218 Å
α = 90.00°, β = 90.00°, γ = 90.00°
Positions (direct):
Li 0.000 0.250 0.375
Li 0.000 0.750 0.625
Li 0.500 0.250 0.125
Li 0.500 0.750 0.875
Cu 0.000 0.000 0.000
Cu 0.000 0.500 0.000
Cu 0.250 0.250 0.750
Cu 0.250 0.750 0.250
Cu 0.500 0.000 0.500
Cu 0.500 0.500 0.500
Cu 0.750 0.250 0.750
Cu 0.750 0.750 0.250
H 0.000 0.250 0.875
H 0.000 0.750 0.125
H 0.500 0.250 0.625
H 0.500 0.750 0.375



(2)
Material: NaSmPb
Method: DFT, PBE-GGA
State: relaxed

Calculated values
DFT formation energy	-0.13	eV/atom
symmetry	R-3m (166)

a = 9.445 Å, b = 9.445 Å, c = 9.445 Å
α = 31.90°, β = 31.90°, γ = 31.90°
Positions (direct):
Na 0.134 0.134 0.134
Na 0.866 0.866 0.866
Sm 0.288 0.288 0.288
Sm 0.712 0.712 0.712
Pb 0.417 0.417 0.417
Pb 0.583 0.583 0.583



VASP energy in eV per atom, matching the order above: -3.234, -3.377